1.
A plane-wave DFT calculation with PBE-GGA was carried out for a relaxed structure of Nd2ZrZn2Rh5.

Values from the calculation:
- D(E_F): 5.9 states/eV/f.u.
- Size of the total moment: 0.00 μB per formula unit
- Crystal system: tetragonal
- Space-group type: P4/mbm, No. 127
- ΔH_f (0 K): -0.638 eV/atom
- Total DFT energy (no corrections): -127.54 eV/cell

Lattice parameters (Å, degrees): 3.618 10.001 10.001 90.00 90.00 90.00
Fractional coordinates of all 20 atoms:
1 Nd 0.000 0.673 0.173
2 Nd 0.000 0.327 0.827
3 Nd 0.000 0.173 0.327
4 Nd 0.000 0.827 0.673
5 Zr 0.000 0.000 0.000
6 Zr 0.000 0.500 0.500
7 Zn 0.000 0.123 0.623
8 Zn 0.000 0.877 0.377
9 Zn 0.000 0.623 0.877
10 Zn 0.000 0.377 0.123
11 Rh 0.500 0.205 0.066
12 Rh 0.500 0.795 0.934
13 Rh 0.500 0.066 0.795
14 Rh 0.500 0.705 0.434
15 Rh 0.500 0.934 0.205
16 Rh 0.500 0.295 0.566
17 Rh 0.500 0.566 0.705
18 Rh 0.500 0.434 0.295
19 Rh 0.500 0.500 0.000
20 Rh 0.500 0.000 0.500

=====

2.
A plane-wave DFT calculation with PBE-GGA was carried out for a relaxed structure of ZnCoNi3.

Values from the calculation:
- D(E_F): 5.9 states/eV/f.u.
- Size of the total moment: 3.23 μB per formula unit
- Crystal system: hexagonal
- Space-group type: P6_3/mmc, No. 194
- ΔH_f (0 K): 0.382 eV/atom
- Total DFT energy (no corrections): -47.63 eV/cell

Lattice parameters (Å, degrees): 4.413 5.877 5.877 120.00 90.00 90.00
Site moments in Bohr magnetons follow the coordinates.
Fractional coordinates of all 10 atoms:
1 Zn 0.250 0.334 0.666  -0.02
2 Zn 0.750 0.666 0.334  -0.02
3 Co 0.000 0.000 0.000  1.70
4 Co 0.500 0.000 0.000  1.70
5 Ni 0.250 0.799 0.201  0.55
6 Ni 0.750 0.201 0.799  0.55
7 Ni 0.250 0.799 0.599  0.55
8 Ni 0.750 0.201 0.401  0.55
9 Ni 0.250 0.401 0.201  0.55
10 Ni 0.750 0.599 0.799  0.55

=====

3.
A plane-wave DFT calculation with PBE-GGA was carried out for a relaxed structure of AlFe2Hg.

Values from the calculation:
- D(E_F): 2.1 states/eV/f.u.
- Size of the total moment: 4.78 μB per formula unit
- Crystal system: monoclinic
- Space-group type: Cm, No. 8
- ΔH_f (0 K): 0.175 eV/atom
- Total DFT energy (no corrections): -20.27 eV/cell

Lattice parameters (Å, degrees): 5.057 5.057 4.319 65.60 65.60 36.77
Site moments in Bohr magnetons follow the coordinates.
Fractional coordinates of all 4 atoms:
1 Al 0.737 0.737 0.764  -0.04
2 Hg 0.509 0.509 0.491  -0.04
3 Fe 0.980 0.980 0.020  2.48
4 Fe 0.273 0.273 0.225  2.42

=====

4.
A plane-wave DFT calculation with PBE-GGA was carried out for a relaxed structure of NdSmTm3.

Values from the calculation:
- D(E_F): 7.2 states/eV/f.u.
- Size of the total moment: 0.00 μB per formula unit
- Crystal system: orthorhombic
- Space-group type: Cmcm, No. 63
- ΔH_f (0 K): 0.318 eV/atom
- Total DFT energy (no corrections): -42.63 eV/cell

Lattice parameters (Å, degrees): 3.629 8.552 11.510 90.00 90.00 102.26
Fractional coordinates of all 10 atoms:
1 Nd 0.311 0.121 0.250
2 Nd 0.689 0.879 0.750
3 Sm 0.986 0.471 0.250
4 Sm 0.014 0.529 0.750
5 Tm 0.843 0.185 0.997
6 Tm 0.157 0.815 0.003
7 Tm 0.843 0.185 0.503
8 Tm 0.157 0.815 0.497
9 Tm 0.650 0.799 0.250
10 Tm 0.350 0.201 0.750